(1)
# LaYTm2As4, optimized geometry, DFT PBE-GGA
data_LaYTm2As4
_cell_length_a 7.200
_cell_length_b 4.163
_cell_length_c 7.203
_cell_angle_alpha 90.00
_cell_angle_beta 109.45
_cell_angle_gamma 90.00
_space_group_name_H-M_alt 'P 1 2/m 1'
_space_group_IT_number 10
loop_
_space_group_symop_operation_xyz
'x,y,z'
'-x,-y,-z'
'-x,y,-z'
'x,-y,z'
loop_
_atom_site_label
_atom_site_type_symbol
_atom_site_fract_x
_atom_site_fract_y
_atom_site_fract_z
_atom_site_occupancy
La1 La 0.000 0.000 0.000 1
Y1 Y 0.000 0.500 0.500 1
Tm1 Tm 0.500 0.000 0.500 1
Tm2 Tm 0.500 0.500 0.000 1
As1 As 0.258 0.000 0.747 1
As2 As 0.263 0.500 0.260 1
# Total moment: 0.00 μB per cell
# VASP energy: -6.3843 eV per atom
# Energy relative to the elements: -146.43 kJ/mol of atoms

***

(2)
# La2TmZrAs4, optimized geometry, DFT PBE-GGA
data_La2TmZrAs4
_cell_length_a 7.183
_cell_length_b 4.144
_cell_length_c 7.226
_cell_angle_alpha 90.00
_cell_angle_beta 109.24
_cell_angle_gamma 90.00
_space_group_name_H-M_alt 'P 1 2/m 1'
_space_group_IT_number 10
loop_
_space_group_symop_operation_xyz
'x,y,z'
'-x,-y,-z'
'-x,y,-z'
'x,-y,z'
loop_
_atom_site_label
_atom_site_type_symbol
_atom_site_fract_x
_atom_site_fract_y
_atom_site_fract_z
_atom_site_occupancy
La1 La 0.000 0.000 0.000 1
La2 La 0.500 0.500 0.000 1
Tm1 Tm 0.000 0.500 0.500 1
Zr1 Zr 0.500 0.000 0.500 1
As1 As 0.249 0.000 0.728 1
As2 As 0.264 0.500 0.275 1
# Total moment: 0.00 μB per cell
# VASP energy: -6.6203 eV per atom
# Energy relative to the elements: -138.57 kJ/mol of atoms